First-principles (GGA-PBE) data for Ac3YEr3Te8 after structural relaxation, as listed in Alexandria.

## Properties
Calculated density = 7.37 g/cm³
Crystal system = trigonal
E_form (uncorrected) = -1.41 eV/atom

Unit cell a=9.122 b=9.122 c=9.122 alpha=58.35 beta=58.35 gamma=58.35
Fractional positions:
Ac1 0.000 0.500 0.500
Ac2 0.500 0.000 0.500
Ac3 0.500 0.500 0.000
Y1 0.500 0.500 0.500
Er1 0.000 0.000 0.500
Er2 0.000 0.500 0.000
Er3 0.500 0.000 0.000
Te1 0.232 0.749 0.749
Te2 0.240 0.240 0.240
Te3 0.251 0.251 0.768
Te4 0.251 0.768 0.251
Te5 0.749 0.232 0.749
Te6 0.749 0.749 0.232
Te7 0.760 0.760 0.760
Te8 0.768 0.251 0.251